# Cd7Au4 GGA-PBE optimized geometry
data_Cd7Au4
_symmetry_space_group_name_H-M 'P 1'
_symmetry_Int_Tables_number 1
_symmetry_space_group_name_Hall 'P 1'
_cell_length_a 8.185
_cell_length_b 8.185
_cell_length_c 4.304
_cell_angle_alpha 90.00
_cell_angle_beta 90.00
_cell_angle_gamma 120.00
loop_
_atom_site_label
_atom_site_fract_x
_atom_site_fract_y
_atom_site_fract_z
Cd1 0.000 0.000 0.000
Cd2 0.190 0.379 0.500
Cd3 0.190 0.810 0.500
Cd4 0.532 0.064 0.000
Cd5 0.532 0.468 0.000
Cd6 0.621 0.810 0.500
Cd7 0.936 0.468 0.000
Au1 0.333 0.667 0.000
Au2 0.404 0.202 0.500
Au3 0.798 0.202 0.500
Au4 0.798 0.596 0.500
# ΔH_f (0 K) in eV/atom: -0.0752
# Total DFT energy (no corrections) in eV/atom: -1.85


# Tb2YNi2 GGA-PBE optimized geometry
data_Tb2YNi2
_symmetry_space_group_name_H-M 'P 1'
_symmetry_Int_Tables_number 1
_symmetry_space_group_name_Hall 'P 1'
_cell_length_a 4.314
_cell_length_b 14.331
_cell_length_c 3.710
_cell_angle_alpha 90.00
_cell_angle_beta 90.00
_cell_angle_gamma 90.00
loop_
_atom_site_label
_atom_site_fract_x
_atom_site_fract_y
_atom_site_fract_z
Tb1 0.000 0.152 0.000
Tb2 0.000 0.848 0.000
Tb3 0.500 0.348 0.000
Tb4 0.500 0.652 0.000
Y1 0.000 0.500 0.500
Y2 0.500 0.000 0.500
Ni1 0.000 0.301 0.500
Ni2 0.000 0.699 0.500
Ni3 0.500 0.199 0.500
Ni4 0.500 0.801 0.500
# ΔH_f (0 K) in eV/atom: -0.3278
# Total DFT energy (no corrections) in eV/atom: -5.79
# E above lowest polymorph in meV/atom: 0.0


# SiSb2MoI GGA-PBE optimized geometry
data_SiSb2MoI
_symmetry_space_group_name_H-M 'P 1'
_symmetry_Int_Tables_number 1
_symmetry_space_group_name_Hall 'P 1'
_cell_length_a 5.164
_cell_length_b 5.164
_cell_length_c 5.811
_cell_angle_alpha 90.00
_cell_angle_beta 90.00
_cell_angle_gamma 90.00
loop_
_atom_site_label
_atom_site_fract_x
_atom_site_fract_y
_atom_site_fract_z
Si1 0.000 0.000 0.000
Sb1 0.000 0.500 0.500
Sb2 0.500 0.000 0.500
Mo1 0.500 0.500 0.500
I1 0.500 0.500 0.000
# Raw formation energy in eV/atom: 0.94
# Total DFT energy (no corrections) in eV/atom: -4.27
# E above lowest polymorph in meV/atom: 0.0


# TaTiZnRe GGA-PBE optimized geometry
data_TaTiZnRe
_symmetry_space_group_name_H-M 'P 1'
_symmetry_Int_Tables_number 1
_symmetry_space_group_name_Hall 'P 1'
_cell_length_a 6.341
_cell_length_b 6.341
_cell_length_c 6.341
_cell_angle_alpha 90.00
_cell_angle_beta 90.00
_cell_angle_gamma 90.00
loop_
_atom_site_label
_atom_site_fract_x
_atom_site_fract_y
_atom_site_fract_z
Ta1 0.000 0.000 0.000
Ta2 0.000 0.500 0.500
Ta3 0.500 0.000 0.500
Ta4 0.500 0.500 0.000
Ti1 0.000 0.000 0.500
Ti2 0.000 0.500 0.000
Ti3 0.500 0.000 0.000
Ti4 0.500 0.500 0.500
Zn1 0.250 0.250 0.750
Zn2 0.250 0.750 0.250
Zn3 0.750 0.250 0.250
Zn4 0.750 0.750 0.750
Re1 0.250 0.250 0.250
Re2 0.250 0.750 0.750
Re3 0.750 0.250 0.750
Re4 0.750 0.750 0.250
# ΔH_f (0 K) in eV/atom: -0.1898
# Total DFT energy (no corrections) in eV/atom: -8.56


# La2CdIn2 GGA-PBE optimized geometry
data_La2CdIn2
_symmetry_space_group_name_H-M 'P 1'
_symmetry_Int_Tables_number 1
_symmetry_space_group_name_Hall 'P 1'
_cell_length_a 7.751
_cell_length_b 7.751
_cell_length_c 5.019
_cell_angle_alpha 90.00
_cell_angle_beta 90.00
_cell_angle_gamma 90.00
loop_
_atom_site_label
_atom_site_fract_x
_atom_site_fract_y
_atom_site_fract_z
La1 0.168 0.332 0.000
La2 0.332 0.832 0.000
La3 0.668 0.168 0.000
La4 0.832 0.668 0.000
Cd1 0.000 0.000 0.500
Cd2 0.500 0.500 0.500
In1 0.136 0.636 0.500
In2 0.364 0.136 0.500
In3 0.636 0.864 0.500
In4 0.864 0.364 0.500
# ΔH_f (0 K) in eV/atom: -0.4327
# Total DFT energy (no corrections) in eV/atom: -3.68
# E above lowest polymorph in meV/atom: 39.8


# AlAuSeBr2 GGA-PBE optimized geometry
data_AlAuSeBr2
_symmetry_space_group_name_H-M 'P 1'
_symmetry_Int_Tables_number 1
_symmetry_space_group_name_Hall 'P 1'
_cell_length_a 4.876
_cell_length_b 4.876
_cell_length_c 5.310
_cell_angle_alpha 90.00
_cell_angle_beta 90.00
_cell_angle_gamma 90.00
loop_
_atom_site_label
_atom_site_fract_x
_atom_site_fract_y
_atom_site_fract_z
Al1 0.000 0.000 0.000
Au1 0.500 0.500 0.500
Se1 0.000 0.000 0.500
Br1 0.000 0.500 0.000
Br2 0.500 0.000 0.000
# Raw formation energy in eV/atom: 0.02
# Total DFT energy (no corrections) in eV/atom: -2.75
# E above lowest polymorph in meV/atom: 0.0


# NaCaCd5 GGA-PBE optimized geometry
data_NaCaCd5
_symmetry_space_group_name_H-M 'P 1'
_symmetry_Int_Tables_number 1
_symmetry_space_group_name_Hall 'P 1'
_cell_length_a 6.301
_cell_length_b 9.428
_cell_length_c 6.373
_cell_angle_alpha 90.00
_cell_angle_beta 90.00
_cell_angle_gamma 90.00
loop_
_atom_site_label
_atom_site_fract_x
_atom_site_fract_y
_atom_site_fract_z
Na1 0.000 0.000 0.000
Na2 0.500 0.500 0.000
Ca1 0.000 0.500 0.500
Ca2 0.500 0.000 0.500
Cd1 0.000 0.500 0.000
Cd2 0.250 0.250 0.249
Cd3 0.250 0.250 0.751
Cd4 0.250 0.750 0.249
Cd5 0.250 0.750 0.751
Cd6 0.500 0.000 0.000
Cd7 0.750 0.250 0.249
Cd8 0.750 0.250 0.751
Cd9 0.750 0.750 0.249
Cd10 0.750 0.750 0.751
# ΔH_f (0 K) in eV/atom: -0.1001
# Total DFT energy (no corrections) in eV/atom: -1.23


# VCoTc2 GGA-PBE optimized geometry
data_VCoTc2
_symmetry_space_group_name_H-M 'P 1'
_symmetry_Int_Tables_number 1
_symmetry_space_group_name_Hall 'P 1'
_cell_length_a 3.749
_cell_length_b 3.749
_cell_length_c 3.767
_cell_angle_alpha 90.00
_cell_angle_beta 90.00
_cell_angle_gamma 90.00
loop_
_atom_site_label
_atom_site_fract_x
_atom_site_fract_y
_atom_site_fract_z
V1 0.000 0.000 0.000
Co1 0.500 0.500 0.000
Tc1 0.000 0.500 0.500
Tc2 0.500 0.000 0.500
# ΔH_f (0 K) in eV/atom: -0.0419
# Total DFT energy (no corrections) in eV/atom: -9.28
# E above lowest polymorph in meV/atom: 0.0


# Li4Sm3DyTe8 GGA-PBE optimized geometry
data_Li4Sm3DyTe8
_symmetry_space_group_name_H-M 'P 1'
_symmetry_Int_Tables_number 1
_symmetry_space_group_name_Hall 'P 1'
_cell_length_a 8.712
_cell_length_b 8.712
_cell_length_c 8.712
_cell_angle_alpha 60.64
_cell_angle_beta 60.64
_cell_angle_gamma 60.64
loop_
_atom_site_label
_atom_site_fract_x
_atom_site_fract_y
_atom_site_fract_z
Li1 0.000 0.000 0.000
Li2 0.000 0.500 0.500
Li3 0.500 0.000 0.500
Li4 0.500 0.500 0.000
Sm1 0.000 0.000 0.500
Sm2 0.000 0.500 0.000
Sm3 0.500 0.000 0.000
Dy1 0.500 0.500 0.500
Te1 0.250 0.250 0.743
Te2 0.250 0.743 0.250
Te3 0.253 0.253 0.253
Te4 0.257 0.750 0.750
Te5 0.743 0.250 0.250
Te6 0.747 0.747 0.747
Te7 0.750 0.257 0.750
Te8 0.750 0.750 0.257
# Raw formation energy in eV/atom: -1.30
# Total DFT energy (no corrections) in eV/atom: -4.52


# GeSbC2 GGA-PBE optimized geometry
data_GeSbC2
_symmetry_space_group_name_H-M 'P 1'
_symmetry_Int_Tables_number 1
_symmetry_space_group_name_Hall 'P 1'
_cell_length_a 5.003
_cell_length_b 5.003
_cell_length_c 9.553
_cell_angle_alpha 90.00
_cell_angle_beta 90.00
_cell_angle_gamma 90.00
loop_
_atom_site_label
_atom_site_fract_x
_atom_site_fract_y
_atom_site_fract_z
Ge1 0.000 0.000 0.000
Ge2 0.000 0.500 0.250
Ge3 0.500 0.000 0.750
Ge4 0.500 0.500 0.500
Sb1 0.000 0.000 0.500
Sb2 0.000 0.500 0.750
Sb3 0.500 0.000 0.250
Sb4 0.500 0.500 0.000
C1 0.207 0.250 0.125
C2 0.250 0.707 0.375
C3 0.250 0.793 0.875
C4 0.293 0.250 0.625
C5 0.707 0.750 0.625
C6 0.750 0.207 0.875
C7 0.750 0.293 0.375
C8 0.793 0.750 0.125
# Raw formation energy in eV/atom: 1.11
# Total DFT energy (no corrections) in eV/atom: -5.68
# E above lowest polymorph in meV/atom: 0.0


# LiZnBiO4 GGA-PBE optimized geometry
data_LiZnBiO4
_symmetry_space_group_name_H-M 'P 1'
_symmetry_Int_Tables_number 1
_symmetry_space_group_name_Hall 'P 1'
_cell_length_a 6.341
_cell_length_b 6.341
_cell_length_c 6.341
_cell_angle_alpha 121.54
_cell_angle_beta 117.77
_cell_angle_gamma 90.63
loop_
_atom_site_label
_atom_site_fract_x
_atom_site_fract_y
_atom_site_fract_z
Li1 0.392 0.142 0.250
Li2 0.608 0.858 0.750
Zn1 0.000 0.000 0.500
Zn2 0.000 0.500 0.000
Bi1 0.000 0.500 0.500
Bi2 0.500 0.500 0.000
O1 0.210 0.734 0.476
O2 0.241 0.266 0.976
O3 0.248 0.261 0.514
O4 0.248 0.734 0.986
O5 0.752 0.266 0.014
O6 0.752 0.739 0.486
O7 0.759 0.734 0.024
O8 0.790 0.266 0.524
# Raw formation energy in eV/atom: -1.26
# Total DFT energy (no corrections) in eV/atom: -5.10


# VMoRh3 GGA-PBE optimized geometry
data_VMoRh3
_symmetry_space_group_name_H-M 'P 1'
_symmetry_Int_Tables_number 1
_symmetry_space_group_name_Hall 'P 1'
_cell_length_a 4.452
_cell_length_b 4.452
_cell_length_c 4.452
_cell_angle_alpha 90.00
_cell_angle_beta 90.00
_cell_angle_gamma 90.00
loop_
_atom_site_label
_atom_site_fract_x
_atom_site_fract_y
_atom_site_fract_z
V1 0.000 0.000 0.000
Mo1 0.500 0.500 0.500
Rh1 0.000 0.000 0.500
Rh2 0.000 0.500 0.000
Rh3 0.500 0.000 0.000
# ΔH_f (0 K) in eV/atom: 0.9336
# Total DFT energy (no corrections) in eV/atom: -7.47
# E above lowest polymorph in meV/atom: 1182.0